# ScTl2S2 PBE relaxed
data_ScTl2S2
_cell_length_a 3.726
_cell_length_b 3.731
_cell_length_c 10.882
_cell_angle_alpha 82.09
_cell_angle_beta 80.14
_cell_angle_gamma 60.04
_space_group_name_H-M_alt 'P 1'
_space_group_IT_number 1
loop_
_space_group_symop_operation_xyz
'x,y,z'
loop_
_atom_site_label
_atom_site_fract_x
_atom_site_fract_y
_atom_site_fract_z
S1 0.721 0.193 0.365
S2 0.279 0.807 0.635
Tl1 0.529 0.799 0.143
Tl2 0.471 0.201 0.857
Sc1 0.000 0.500 0.500
# **SG**: C2/m
# **Energy relative to the elements, uncorrected**: -100.0 kJ/mol of atoms

# Sr2PbC PBE relaxed
data_Sr2PbC
_cell_length_a 8.297
_cell_length_b 8.297
_cell_length_c 6.849
_cell_angle_alpha 52.72
_cell_angle_beta 52.72
_cell_angle_gamma 90.00
_space_group_name_H-M_alt 'P 1'
_space_group_IT_number 1
loop_
_space_group_symop_operation_xyz
'x,y,z'
loop_
_atom_site_label
_atom_site_fract_x
_atom_site_fract_y
_atom_site_fract_z
C1 0.500 0.500 0.000
C2 0.250 0.750 0.500
Sr1 0.216 0.625 0.250
Sr2 0.875 0.784 0.750
Sr3 0.375 0.466 0.750
Sr4 0.534 0.125 0.250
Pb1 0.750 0.250 0.500
Pb2 0.000 0.000 0.000
# **SG**: I-42d
# **Formation enthalpy at 0 K**: 0.554 eV/atom

# Tm3TcPb PBE relaxed
data_Tm3TcPb
_cell_length_a 5.077
_cell_length_b 7.085
_cell_length_c 9.242
_cell_angle_alpha 120.11
_cell_angle_beta 90.00
_cell_angle_gamma 111.00
_space_group_name_H-M_alt 'P 1'
_space_group_IT_number 1
loop_
_space_group_symop_operation_xyz
'x,y,z'
loop_
_atom_site_label
_atom_site_fract_x
_atom_site_fract_y
_atom_site_fract_z
Tm1 0.410 0.821 0.086
Tm2 0.590 0.179 0.914
Tm3 0.906 0.812 0.767
Tm4 0.836 0.672 0.281
Tm5 0.094 0.188 0.233
Tm6 0.164 0.328 0.719
Tc1 0.189 0.377 0.038
Tc2 0.811 0.623 0.962
Pb1 0.383 0.767 0.519
Pb2 0.617 0.233 0.481
# **SG**: C2/m
# **Formation enthalpy at 0 K**: -0.192 eV/atom

# Ho2Ni5Ge4 PBE relaxed
data_Ho2Ni5Ge4
_cell_length_a 5.356
_cell_length_b 5.381
_cell_length_c 7.509
_cell_angle_alpha 79.78
_cell_angle_beta 69.11
_cell_angle_gamma 60.15
_space_group_name_H-M_alt 'P 1'
_space_group_IT_number 1
loop_
_space_group_symop_operation_xyz
'x,y,z'
loop_
_atom_site_label
_atom_site_fract_x
_atom_site_fract_y
_atom_site_fract_z
Ge1 0.522 0.694 0.262
Ge2 0.478 0.306 0.738
Ge3 0.784 0.694 0.738
Ge4 0.216 0.306 0.262
Ni1 0.000 0.500 0.000
Ni2 0.500 0.500 0.000
Ni3 0.250 0.500 0.500
Ni4 0.750 0.500 0.500
Ni5 0.500 0.000 0.000
Ho1 0.862 0.000 0.276
Ho2 0.138 0.000 0.724
# **SG**: Fmmm
# **Formation enthalpy at 0 K**: -0.537 eV/atom

# CsRb6HgF PBE relaxed
data_CsRb6HgF
_cell_length_a 8.483
_cell_length_b 8.484
_cell_length_c 11.555
_cell_angle_alpha 90.03
_cell_angle_beta 89.99
_cell_angle_gamma 59.98
_space_group_name_H-M_alt 'P 1'
_space_group_IT_number 1
loop_
_space_group_symop_operation_xyz
'x,y,z'
loop_
_atom_site_label
_atom_site_fract_x
_atom_site_fract_y
_atom_site_fract_z
Rb1 0.053 0.625 0.656
Rb2 0.625 0.322 0.656
Rb3 0.625 0.053 0.344
Rb4 0.054 0.322 0.344
Rb5 0.322 0.625 0.344
Rb6 0.322 0.054 0.656
Hg1 0.667 0.667 0.500
Cs1 0.000 0.000 0.000
F1 0.333 0.333 0.500
# **SG**: C2
# **Energy relative to the elements, uncorrected**: -50.3 kJ/mol of atoms

# Cu2AsRh PBE relaxed
data_Cu2AsRh
_cell_length_a 2.753
_cell_length_b 2.753
_cell_length_c 8.617
_cell_angle_alpha 90.00
_cell_angle_beta 90.00
_cell_angle_gamma 117.95
_space_group_name_H-M_alt 'P 1'
_space_group_IT_number 1
loop_
_space_group_symop_operation_xyz
'x,y,z'
loop_
_atom_site_label
_atom_site_fract_x
_atom_site_fract_y
_atom_site_fract_z
Rh1 0.500 0.500 0.250
Cu1 0.000 0.000 0.003
Cu2 0.000 0.000 0.497
As1 0.500 0.500 0.750
# **SG**: Cmmm
# **Formation enthalpy at 0 K**: 0.239 eV/atom

# KI2N2 PBE relaxed
data_KI2N2
_cell_length_a 6.724
_cell_length_b 6.724
_cell_length_c 6.158
_cell_angle_alpha 90.00
_cell_angle_beta 90.00
_cell_angle_gamma 90.00
_space_group_name_H-M_alt 'P 1'
_space_group_IT_number 1
loop_
_space_group_symop_operation_xyz
'x,y,z'
loop_
_atom_site_label
_atom_site_fract_x
_atom_site_fract_y
_atom_site_fract_z
N1 0.000 0.000 0.500
N2 0.500 0.500 0.500
I1 0.500 0.000 0.000
I2 0.000 0.500 0.000
K1 0.000 0.000 0.000
# **SG**: P4/mmm
# **Energy relative to the elements, uncorrected**: 168.2 kJ/mol of atoms

# Ce5Tl2Ir2 PBE relaxed
data_Ce5Tl2Ir2
_cell_length_a 5.063
_cell_length_b 8.152
_cell_length_c 6.305
_cell_angle_alpha 102.19
_cell_angle_beta 90.00
_cell_angle_gamma 108.09
_space_group_name_H-M_alt 'P 1'
_space_group_IT_number 1
loop_
_space_group_symop_operation_xyz
'x,y,z'
loop_
_atom_site_label
_atom_site_fract_x
_atom_site_fract_y
_atom_site_fract_z
Tl1 0.573 0.145 0.340
Tl2 0.427 0.855 0.660
Ce1 0.344 0.688 0.117
Ce2 0.812 0.623 0.387
Ce3 0.000 0.000 0.000
Ce4 0.188 0.377 0.613
Ce5 0.656 0.312 0.883
Ir1 0.172 0.344 0.135
Ir2 0.828 0.656 0.865
# **SG**: C2/m
# **Formation enthalpy at 0 K**: -0.390 eV/atom

Spin magnetization across the listed records, respectively: 0.0, 0.8, 0.0, 0.0, 0.0, 0.1, 7.1, 3.0 μB per formula unit.